Record 1
DFT (GGA-PBE) results for crystalline CoPt2Au at its relaxed geometry.

Geometry as CIF:
```
data_CoPt2Au
_chemical_formula_sum 'Co1 Pt2 Au1'
_symmetry_space_group_name_H-M 'P 1 2/m 1'
_symmetry_Int_Tables_number 10
_cell_length_a 2.8000
_cell_length_b 3.7429
_cell_length_c 5.8361
_cell_angle_alpha 90.00
_cell_angle_beta 90.20
_cell_angle_gamma 90.00
loop_
_symmetry_equiv_pos_as_xyz
'x,y,z'
'-x,-y,-z'
'-x,y,-z'
'x,-y,z'
loop_
_atom_site_label
_atom_site_type_symbol
_atom_site_fract_x
_atom_site_fract_y
_atom_site_fract_z
Co1 Co 0.0000 0.0000 0.0000
Pt1 Pt 0.4985 0.5000 0.2281
Au1 Au 0.0000 0.0000 0.5000
```

Properties
The total moment is 2.73 Bohr magnetons per cell. The value obtained for the total energy is -5.59 eV per atom.

Record 2
DFT (GGA-PBE) results for crystalline Co2PtAu at its relaxed geometry.

Geometry as CIF:
```
data_Co2PtAu
_chemical_formula_sum 'Co6 Pt3 Au3'
_symmetry_space_group_name_H-M 'R 3 m'
_symmetry_Int_Tables_number 160
_symmetry_space_group_name_Hall 'R 3 -2"'
_cell_length_a 2.7236
_cell_length_b 2.7236
_cell_length_c 26.5305
_cell_angle_alpha 90.00
_cell_angle_beta 90.00
_cell_angle_gamma 120.00
loop_
_atom_site_label
_atom_site_type_symbol
_atom_site_fract_x
_atom_site_fract_y
_atom_site_fract_z
Co1 Co 0.0000 0.0000 0.0000
Co2 Co 0.0000 0.0000 0.2637
Pt1 Pt 0.0000 0.0000 0.7473
Au1 Au 0.0000 0.0000 0.5103
```

Properties
The total moment is 10.91 Bohr magnetons per cell. The value obtained for the total energy is -5.80 eV per atom.

Record 3
DFT (GGA-PBE) results for crystalline CoPtAu at its relaxed geometry.

Geometry as CIF:
```
data_CoPtAu
_chemical_formula_sum 'Co2 Pt2 Au2'
_symmetry_space_group_name_H-M 'I m m 2'
_symmetry_Int_Tables_number 44
_cell_length_a 2.8011
_cell_length_b 3.7273
_cell_length_c 8.6998
_cell_angle_alpha 90.00
_cell_angle_beta 90.00
_cell_angle_gamma 90.00
loop_
_symmetry_equiv_pos_as_xyz
'x,y,z'
'-x,-y,z'
'-x,y,z'
'x,-y,z'
'x+1/2,y+1/2,z+1/2'
'-x+1/2,-y+1/2,z+1/2'
'-x+1/2,y+1/2,z+1/2'
'x+1/2,-y+1/2,z+1/2'
loop_
_atom_site_label
_atom_site_type_symbol
_atom_site_fract_x
_atom_site_fract_y
_atom_site_fract_z
Co1 Co 0.0000 0.0000 0.0000
Pt1 Pt 0.0000 0.0000 0.3576
Au1 Au 0.0000 0.0000 0.6726
```

Properties
The total moment is 4.62 Bohr magnetons per cell. The value obtained for the total energy is -5.38 eV per atom.

Record 4
DFT (GGA-PBE) results for crystalline CoPtAu2 at its relaxed geometry.

Geometry as CIF:
```
data_CoPtAu2
_chemical_formula_sum 'Co3 Pt3 Au6'
_symmetry_space_group_name_H-M 'R 3 m'
_symmetry_Int_Tables_number 160
_symmetry_space_group_name_Hall 'R 3 -2"'
_cell_length_a 2.8088
_cell_length_b 2.8088
_cell_length_c 27.9154
_cell_angle_alpha 90.00
_cell_angle_beta 90.00
_cell_angle_gamma 120.00
loop_
_atom_site_label
_atom_site_type_symbol
_atom_site_fract_x
_atom_site_fract_y
_atom_site_fract_z
Co1 Co 0.0000 0.0000 0.0000
Pt1 Pt 0.0000 0.0000 0.7395
Au1 Au 0.0000 0.0000 0.2547
Au2 Au 0.0000 0.0000 0.4953
```

Properties
The total moment is 5.69 Bohr magnetons per cell. The value obtained for the total energy is -4.84 eV per atom.

> What is the total moment in the fourth record?

5.69 Bohr magnetons per cell

Please write out number 1 again, unchanged.
DFT (GGA-PBE) results for crystalline CoPt2Au at its relaxed geometry.

Geometry as CIF:
```
data_CoPt2Au
_chemical_formula_sum 'Co1 Pt2 Au1'
_symmetry_space_group_name_H-M 'P 1 2/m 1'
_symmetry_Int_Tables_number 10
_cell_length_a 2.8000
_cell_length_b 3.7429
_cell_length_c 5.8361
_cell_angle_alpha 90.00
_cell_angle_beta 90.20
_cell_angle_gamma 90.00
loop_
_symmetry_equiv_pos_as_xyz
'x,y,z'
'-x,-y,-z'
'-x,y,-z'
'x,-y,z'
loop_
_atom_site_label
_atom_site_type_symbol
_atom_site_fract_x
_atom_site_fract_y
_atom_site_fract_z
Co1 Co 0.0000 0.0000 0.0000
Pt1 Pt 0.4985 0.5000 0.2281
Au1 Au 0.0000 0.0000 0.5000
```

Properties
The total moment is 2.73 Bohr magnetons per cell. The value obtained for the total energy is -5.59 eV per atom.

Repeat the fourth record exactly.
DFT (GGA-PBE) results for crystalline CoPtAu2 at its relaxed geometry.

Geometry as CIF:
```
data_CoPtAu2
_chemical_formula_sum 'Co3 Pt3 Au6'
_symmetry_space_group_name_H-M 'R 3 m'
_symmetry_Int_Tables_number 160
_symmetry_space_group_name_Hall 'R 3 -2"'
_cell_length_a 2.8088
_cell_length_b 2.8088
_cell_length_c 27.9154
_cell_angle_alpha 90.00
_cell_angle_beta 90.00
_cell_angle_gamma 120.00
loop_
_atom_site_label
_atom_site_type_symbol
_atom_site_fract_x
_atom_site_fract_y
_atom_site_fract_z
Co1 Co 0.0000 0.0000 0.0000
Pt1 Pt 0.0000 0.0000 0.7395
Au1 Au 0.0000 0.0000 0.2547
Au2 Au 0.0000 0.0000 0.4953
```

Properties
The total moment is 5.69 Bohr magnetons per cell. The value obtained for the total energy is -4.84 eV per atom.

> What is the formula in the third record?

CoPtAu